Compound: Cd2Hg3Pd4
Source: Alexandria
Functional: GGA-PBE
Structure: relaxed

Geometry as POSCAR:
```
Cd2Hg3Pd4
1.0
4.4033 -2.1658 0.0000
4.4033 2.1658 0.0000
-1.7118 0.0000 8.6334
Cd Hg Pd
2 3 4
Direct
0.1694 0.1694 0.2152
0.8306 0.8306 0.7848
0.1624 0.1624 0.5655
0.5000 0.5000 0.0000
0.8376 0.8376 0.4345
0.1670 0.1670 0.8920
0.4967 0.4967 0.6747
0.5033 0.5033 0.3253
0.8330 0.8330 0.1080
```

Values from the calculation:
The electronic total energy is -2.82 eV per atom. As for the size of the total moment: 0.0 Bohr magnetons per cell. Its space-group type is C2/m. For the density, the calculation gives 12628 kg/m³. The crystal system is monoclinic. The energy relative to the elements comes out at -0.21 eV per atom.